{
  "formula": "Na2TeOsCl",
  "functional": "GGA-PBE",
  "state": "optimized geometry",
  "lattice": [[5.004, 0.000, 0.000], [0.000, 5.004, 0.000], [0.000, 0.000, 4.536]],
  "species": ["Na", "Na", "Te", "Os", "Cl"],
  "frac_coords": [[0.000, 0.500, 0.000], [0.500, 0.000, 0.000], [0.000, 0.000, 0.500], [0.500, 0.500, 0.500], [0.500, 0.500, 0.000]],
  "dft_energy_ev_per_cell": -17.579,
  "magmom_total_mub_per_fu": 0.03,
  "spacegroup": "P4/mmm (123)"
}

{
  "formula": "NaTlOsCl6",
  "functional": "GGA-PBE",
  "state": "optimized geometry",
  "lattice": [[6.892, 0.000, 0.000], [-3.446, 5.968, 0.000], [0.000, 0.000, 6.653]],
  "species": ["Na", "Tl", "Os", "Cl", "Cl", "Cl", "Cl", "Cl", "Cl"],
  "frac_coords": [[0.000, 0.000, 0.000], [0.667, 0.333, 0.500], [0.333, 0.667, 0.000], [0.060, 0.383, 0.205], [0.060, 0.677, 0.795], [0.323, 0.383, 0.795], [0.323, 0.940, 0.205], [0.617, 0.677, 0.205], [0.617, 0.940, 0.795]],
  "dft_energy_ev_per_cell": -33.717,
  "magmom_total_mub_per_fu": 2.00,
  "spacegroup": "P312 (149)"
}

{
  "formula": "NaYOs2Cl",
  "functional": "GGA-PBE",
  "state": "optimized geometry",
  "lattice": [[5.227, 0.000, 0.000], [0.000, 5.227, 0.000], [0.000, 0.000, 5.429]],
  "species": ["Na", "Y", "Os", "Os", "Cl"],
  "frac_coords": [[0.000, 0.000, 0.000], [0.500, 0.500, 0.500], [0.000, 0.500, 0.500], [0.500, 0.000, 0.500], [0.500, 0.500, 0.000]],
  "dft_energy_ev_per_cell": -25.271,
  "magmom_total_mub_per_fu": 4.39,
  "spacegroup": "P4/mmm (123)"
}

{
  "formula": "NaP2Cl8",
  "functional": "GGA-PBE",
  "state": "optimized geometry",
  "lattice": [[5.022, -5.427, 0.000], [5.022, 5.427, 0.000], [-1.752, 0.000, 7.274]],
  "species": ["Na", "P", "P", "Cl", "Cl", "Cl", "Cl", "Cl", "Cl", "Cl", "Cl"],
  "frac_coords": [[0.000, 0.000, 0.000], [0.213, 0.213, 0.613], [0.787, 0.787, 0.387], [0.006, 0.307, 0.756], [0.232, 0.232, 0.256], [0.307, 0.006, 0.756], [0.420, 0.420, 0.711], [0.580, 0.580, 0.289], [0.693, 0.994, 0.244], [0.768, 0.768, 0.744], [0.994, 0.693, 0.244]],
  "dft_energy_ev_per_cell": -34.587,
  "magmom_total_mub_per_fu": 1.06,
  "spacegroup": "C2/m (12)"
}

Repeat the first record exactly.
{
  "formula": "Na2TeOsCl",
  "functional": "GGA-PBE",
  "state": "optimized geometry",
  "lattice": [[5.004, 0.000, 0.000], [0.000, 5.004, 0.000], [0.000, 0.000, 4.536]],
  "species": ["Na", "Na", "Te", "Os", "Cl"],
  "frac_coords": [[0.000, 0.500, 0.000], [0.500, 0.000, 0.000], [0.000, 0.000, 0.500], [0.500, 0.500, 0.500], [0.500, 0.500, 0.000]],
  "dft_energy_ev_per_cell": -17.579,
  "magmom_total_mub_per_fu": 0.03,
  "spacegroup": "P4/mmm (123)"
}